1.
DFT (PBE-GGA) results for an optimized crystal structure of Er2Hg2C.

Unit cell a=3.5774 b=3.5774 c=29.8800 alpha=90.00 beta=90.00 gamma=120.00
Space group R-3m (No. 166, hexagonal axes)
Symmetry-distinct sites (fractional):
Er 0.0000 0.0000 0.1224 x6
Hg 0.0000 0.0000 0.3728 x6
C 0.0000 0.0000 0.5000 x3

Calculated values
E in eV/atom: -4.1604
Total magnetic moment in μB per formula unit: 0.00

---

2.
DFT (PBE-GGA) results for an optimized crystal structure of Er5Hg2C.

Unit cell a=4.872 b=15.808 c=12.139 alpha=90.00 beta=90.00 gamma=90.00
Space group Cmcm (No. 63)
Symmetry-distinct sites (fractional):
Er 0.000 0.087 0.107 x8
Er 0.000 0.298 0.750 x4
Er 0.000 0.299 0.091 x8
Hg 0.000 0.101 0.636 x8
C 0.000 0.188 0.250 x4

Calculated values
E in eV/atom: -4.1244
Total magnetic moment in μB per formula unit: 0.00

---

3.
DFT (PBE-GGA) results for an optimized crystal structure of Er3Hg2C.

Unit cell a=4.975 b=15.396 c=3.475 alpha=90.00 beta=90.00 gamma=90.00
Space group Cmmm (No. 65)
Symmetry-distinct sites (fractional):
Er 0.000 0.000 0.000 x2
Er 0.000 0.387 0.500 x4
Hg 0.000 0.198 0.000 x4
C 0.000 0.500 0.000 x2

Calculated values
Excess energy over the best structure of this formula in the dataset in kJ per mole of atoms: 0.00
E in eV/atom: -4.3453
Total magnetic moment in μB per formula unit: 0.00